Record 1
Compound: AuCl
Source: Alexandria via LeMat-Bulk
Functional: meta-GGA SCAN
Structure: single point on PBEsol structure

```
8
Lattice="6.3759 -0.0488 -0.0753 -2.7272 5.7634 0.0753 -2.7272 -2.2808 5.2934" Properties=species:S:1:pos:R:3 pbc="T T T"
Cl -1.6789 1.0719 1.6525
Cl 1.5091 -0.9635 2.9194
Cl -0.5876 0.3752 4.9831
Cl -3.7756 2.4106 3.7162
Au -1.1332 4.7457 0.7087
Au 0.6911 3.5809 3.3178
Au 2.0547 4.7213 0.6711
Au 0.2304 1.8640 0.6711
```

Computed properties:
As for the uncorrected formation energy: -234 meV/atom. As for the total moment: 0.000 μB per formula unit. The calculation puts the volume at 48.3 Å³/f.u.



Record 2
Compound: Au2Cl
Source: Alexandria via LeMat-Bulk
Functional: meta-GGA SCAN
Structure: single point on PBEsol structure

```
3
Lattice="2.8855 0.0000 0.0000 0.0000 4.7016 0.0000 0.0000 0.0000 4.7016" Properties=species:S:1:pos:R:3 pbc="T T T"
Au 1.4428 2.3508 0.0000
Au 1.4428 0.0000 2.3508
Cl 0.0000 0.0000 0.0000
```

Computed properties:
As for the uncorrected formation energy: 778 meV/atom. As for the total moment: 0.000 μB per formula unit. The calculation puts the volume at 63.8 Å³/f.u.



| no. | E (eV per cell) |
| --- | --- |
| 1 | -310.41 |
| 2 | -143.96 |